Density functional theory data (PBE) for a geometry-optimized LiSi2Pb structure.

Structure (extended XYZ):
```
12
Lattice="3.732 0.000 0.000 -1.866 3.232 0.000 0.000 0.000 21.648" Properties=species:S:1:pos:R:3 pbc="T T T"
Li 0.000 0.000 0.000
Li 0.000 2.154 14.432
Li 1.866 1.077 7.216
Si 0.000 0.000 9.726
Si 0.000 0.000 16.029
Si 0.000 2.154 2.510
Si 0.000 2.154 8.813
Si 1.866 1.077 1.598
Si 1.866 1.077 16.942
Pb 0.000 0.000 4.893
Pb 0.000 2.154 19.325
Pb 1.866 1.077 12.109
```

=====

Density functional theory data (PBE) for a geometry-optimized Li3SiPb structure.

Structure (extended XYZ):
```
5
Lattice="5.035 0.000 0.000 0.000 5.035 0.000 0.000 0.000 5.035" Properties=species:S:1:pos:R:3 pbc="T T T"
Li 0.000 0.000 2.517
Li 0.000 2.517 0.000
Li 2.517 0.000 0.000
Si 2.517 2.517 2.517
Pb 0.000 0.000 0.000
```

Properties
The offset from the most stable computed form comes out at 2.26 eV per formula unit.

=====

Density functional theory data (PBE) for a geometry-optimized Li2SiPb2 structure.

Structure (extended XYZ):
```
10
Lattice="8.014 0.000 0.000 0.000 8.014 0.000 0.000 0.000 3.484" Properties=species:S:1:pos:R:3 pbc="T T T"
Li 1.317 2.689 0.000
Li 2.689 6.696 0.000
Li 5.324 1.317 0.000
Li 6.696 5.324 0.000
Si 0.000 0.000 1.742
Si 4.007 4.007 1.742
Pb 1.120 5.127 1.742
Pb 2.887 1.120 1.742
Pb 5.127 6.893 1.742
Pb 6.893 2.887 1.742
```

=====

Density functional theory data (PBE) for a geometry-optimized LiSi2Pb structure.

Structure (extended XYZ):
```
8
Lattice="8.912 0.000 0.000 0.000 3.717 0.000 -1.394 0.000 5.038" Properties=species:S:1:pos:R:3 pbc="T T T"
Li 0.000 0.000 0.000
Li 4.456 1.858 0.000
Si 1.888 1.858 0.666
Si 1.174 0.000 4.371
Si 6.344 0.000 0.666
Si 5.630 1.858 4.371
Pb -0.697 1.858 2.519
Pb 3.759 0.000 2.519
```

=====

Density functional theory data (PBE) for a geometry-optimized LiSiPb4 structure.

Structure (extended XYZ):
```
6
Lattice="0.000 4.539 4.539 4.539 0.000 4.539 4.539 4.539 0.000" Properties=species:S:1:pos:R:3 pbc="T T T"
Li 0.000 0.000 0.000
Si 2.270 2.270 2.270
Pb 5.673 3.405 3.405
Pb 3.405 5.673 3.405
Pb 3.405 3.405 5.673
Pb 5.673 5.673 5.673
```

=====

Density functional theory data (PBE) for a geometry-optimized LiSi2Pb structure.

Structure (extended XYZ):
```
8
Lattice="5.534 0.000 0.000 0.000 10.684 0.000 -1.745 0.000 2.618" Properties=species:S:1:pos:R:3 pbc="T T T"
Li 0.000 0.000 0.000
Li 2.767 5.342 0.000
Si 0.511 2.671 1.309
Si 0.511 8.013 1.309
Si 3.278 2.671 1.309
Si 3.278 8.013 1.309
Pb 0.000 5.342 0.000
Pb 2.767 0.000 0.000
```

=====

no.,E_form (uncorrected) (eV/atom)
1,0.11
2,0.53
3,0.12
4,0.11
5,0.42
6,0.34